Density functional theory data (GGA+U) for a relaxed structure of LiVF4.

a b c (Å): 7.820 7.943 7.973
angles (deg): 96.84 96.38 97.66
Fractional positions:
Li: 0.000 0.000 0.000
Li: 0.042 0.286 0.656
Li: 0.243 0.253 0.939
Li: 0.541 0.642 0.662
Li: 0.884 0.300 0.142
Li: 0.952 0.555 0.868
V: 0.042 0.712 0.277
V: 0.307 0.342 0.330
V: 0.387 0.637 0.981
V: 0.561 0.990 0.870
V: 0.661 0.252 0.510
V: 0.937 0.892 0.616
F: 0.002 0.775 0.807
F: 0.058 0.098 0.787
F: 0.121 0.230 0.141
F: 0.140 0.882 0.487
F: 0.175 0.543 0.375
F: 0.184 0.464 0.864
F: 0.200 0.260 0.510
F: 0.229 0.748 0.119
F: 0.381 0.782 0.777
F: 0.401 0.109 0.973
F: 0.411 0.466 0.154
F: 0.457 0.156 0.334
F: 0.516 0.452 0.500
F: 0.541 0.138 0.681
F: 0.542 0.526 0.855
F: 0.568 0.834 0.060
F: 0.700 0.851 0.713
F: 0.781 0.328 0.335
F: 0.783 0.114 0.976
F: 0.830 0.072 0.513
F: 0.840 0.386 0.686
F: 0.853 0.696 0.438
F: 0.925 0.531 0.096
F: 0.945 0.888 0.182

Values from the calculation:
Crystal system: triclinic
Relative energy among the computed polymorphs, kJ/mol of atoms: 6.2
E, eV per formula unit: -33.986